# 1
Entry from Alexandria: a relaxed structure of La2ErGe2 (PBE-GGA).

Summary:
Formation energy from the elements: -0.791 eV per atom
Distance to the lowest polymorph of the same formula: 0.00 eV/f.u.
Volume: 27.4 A^3/atom
Magnetic moment: 0.0 μB/f.u.

CIF file:
```
data_La2ErGe2
_chemical_formula_sum 'La4 Er2 Ge4'
_cell_length_a 4.546
_cell_length_b 7.764
_cell_length_c 7.764
_cell_angle_alpha 90.00
_cell_angle_beta 90.00
_cell_angle_gamma 90.00
_space_group_name_H-M_alt 'P 1'
_space_group_IT_number 1
_space_group_name_Hall 'P 1'
loop_
_atom_site_label
_atom_site_fract_x
_atom_site_fract_y
_atom_site_fract_z
La1 0.500 0.175 0.675
La2 0.500 0.675 0.825
La3 0.500 0.825 0.325
La4 0.500 0.325 0.175
Er1 0.000 0.000 0.000
Er2 0.000 0.500 0.500
Ge1 0.000 0.378 0.878
Ge2 0.000 0.878 0.622
Ge3 0.000 0.622 0.122
Ge4 0.000 0.122 0.378
```


# 2
Entry from Alexandria: a relaxed structure of ZrSbTe2Pb (PBE-GGA).

Summary:
Distance to the lowest polymorph of the same formula: 0.00 eV/f.u.
Volume: 35.3 A^3/atom
Raw formation energy: -0.35 eV/f.u.
Magnetic moment: 0.0 μB/f.u.

CIF file:
```
data_ZrSbTe2Pb
_chemical_formula_sum 'Zr1 Sb1 Te2 Pb1'
_cell_length_a 5.589
_cell_length_b 5.589
_cell_length_c 5.643
_cell_angle_alpha 90.00
_cell_angle_beta 90.00
_cell_angle_gamma 90.00
_space_group_name_H-M_alt 'P 1'
_space_group_IT_number 1
_space_group_name_Hall 'P 1'
loop_
_atom_site_label
_atom_site_fract_x
_atom_site_fract_y
_atom_site_fract_z
Pb1 0.500 0.500 0.500
Sb1 0.000 0.000 0.500
Te1 0.000 0.500 0.000
Te2 0.500 0.000 0.000
Zr1 0.000 0.000 0.000
```


# 3
Entry from Alexandria: a relaxed structure of SrBeRe (PBE-GGA).

Summary:
Formation energy from the elements: 0.553 eV per atom
Distance to the lowest polymorph of the same formula: 0.00 eV/f.u.
Volume: 19.2 A^3/atom
Magnetic moment: 0.0 μB/f.u.

CIF file:
```
data_SrBeRe
_chemical_formula_sum 'Sr1 Be1 Re1'
_cell_length_a 5.934
_cell_length_b 5.934
_cell_length_c 3.248
_cell_angle_alpha 74.12
_cell_angle_beta 74.12
_cell_angle_gamma 31.77
_space_group_name_H-M_alt 'P 1'
_space_group_IT_number 1
_space_group_name_Hall 'P 1'
loop_
_atom_site_label
_atom_site_fract_x
_atom_site_fract_y
_atom_site_fract_z
Re1 0.393 0.393 0.607
Sr1 0.674 0.674 0.326
Be1 0.933 0.933 0.067
```


# 4
Entry from Alexandria: a relaxed structure of Li3In3Pb4 (PBE-GGA).

Summary:
Formation energy from the elements: -0.098 eV per atom
Volume: 25.6 A^3/atom
Magnetic moment: 0.0 μB/f.u.

CIF file:
```
data_Li3In3Pb4
_chemical_formula_sum 'Li3 In3 Pb4'
_cell_length_a 3.449
_cell_length_b 8.800
_cell_length_c 8.800
_cell_angle_alpha 106.34
_cell_angle_beta 90.00
_cell_angle_gamma 90.00
_space_group_name_H-M_alt 'P 1'
_space_group_IT_number 1
_space_group_name_Hall 'P 1'
loop_
_atom_site_label
_atom_site_fract_x
_atom_site_fract_y
_atom_site_fract_z
Li1 0.500 0.811 0.189
Li2 0.500 0.373 0.238
Li3 0.500 0.762 0.627
In1 0.000 0.459 0.982
In2 0.000 0.018 0.541
In3 0.500 0.127 0.873
Pb1 0.000 0.644 0.356
Pb2 0.000 0.415 0.585
Pb3 0.000 0.789 0.899
Pb4 0.000 0.101 0.211
```